[1]
First-principles (PBE) data for Pa2GaSi4Ni3 after structural relaxation, as listed in Alexandria.

Unit cell a=4.061 b=4.061 c=9.440 alpha=90.00 beta=90.00 gamma=90.00
Sites, in units of the cell vectors:
Pa1 0.000 0.500 0.245
Pa2 0.500 0.000 0.755
Ga1 0.000 0.000 0.500
Si1 0.000 0.000 0.000
Si2 0.000 0.500 0.644
Si3 0.500 0.000 0.356
Si4 0.500 0.500 0.000
Ni1 0.000 0.500 0.883
Ni2 0.500 0.000 0.117
Ni3 0.500 0.500 0.500

Results
For the energy relative to the elements, uncorrected, the calculation gives -655.3 meV/atom.


[2]
First-principles (PBE) data for Ba4YbCu3O9 after structural relaxation, as listed in Alexandria.

Unit cell a=8.149 b=8.149 c=8.149 alpha=90.00 beta=90.00 gamma=90.00
Sites, in units of the cell vectors:
Ba1 0.250 0.250 0.250
Ba2 0.250 0.250 0.750
Ba3 0.250 0.750 0.250
Ba4 0.250 0.750 0.750
Ba5 0.750 0.250 0.250
Ba6 0.750 0.250 0.750
Ba7 0.750 0.750 0.250
Ba8 0.750 0.750 0.750
Yb1 0.000 0.000 0.000
Yb2 0.500 0.500 0.500
Cu1 0.000 0.000 0.500
Cu2 0.000 0.500 0.000
Cu3 0.000 0.500 0.500
Cu4 0.500 0.000 0.000
Cu5 0.500 0.000 0.500
Cu6 0.500 0.500 0.000
O1 0.000 0.000 0.274
O2 0.000 0.000 0.726
O3 0.000 0.250 0.500
O4 0.000 0.274 0.000
O5 0.000 0.726 0.000
O6 0.000 0.750 0.500
O7 0.226 0.500 0.500
O8 0.250 0.500 0.000
O9 0.274 0.000 0.000
O10 0.500 0.000 0.250
O11 0.500 0.000 0.750
O12 0.500 0.226 0.500
O13 0.500 0.500 0.226
O14 0.500 0.500 0.774
O15 0.500 0.774 0.500
O16 0.726 0.000 0.000
O17 0.750 0.500 0.000
O18 0.774 0.500 0.500

Results
For the energy relative to the elements, uncorrected, the calculation gives -1910.7 meV/atom.


[3]
First-principles (PBE) data for NaCrCoOs2 after structural relaxation, as listed in Alexandria.

Unit cell a=4.409 b=4.409 c=4.412 alpha=90.00 beta=90.00 gamma=90.00
Sites, in units of the cell vectors:
Na1 0.000 0.000 0.000
Cr1 0.500 0.500 0.000
Co1 0.000 0.000 0.500
Os1 0.000 0.500 0.500
Os2 0.500 0.000 0.500

Results
The calculation puts the formation energy at 1.903 eV/atom.


[4]
First-principles (PBE) data for AcTl4Cu3O12 after structural relaxation, as listed in Alexandria.

Unit cell a=7.037 b=7.037 c=7.037 alpha=109.47 beta=109.47 gamma=109.47
Sites, in units of the cell vectors:
Ac1 0.000 0.000 0.000
Tl1 0.000 0.000 0.500
Tl2 0.000 0.500 0.000
Tl3 0.500 0.000 0.000
Tl4 0.500 0.500 0.500
Cu1 0.000 0.500 0.500
Cu2 0.500 0.000 0.500
Cu3 0.500 0.500 0.000
O1 0.151 0.472 0.322
O2 0.151 0.829 0.678
O3 0.171 0.322 0.849
O4 0.322 0.151 0.472
O5 0.322 0.849 0.171
O6 0.472 0.322 0.151
O7 0.528 0.678 0.849
O8 0.678 0.151 0.829
O9 0.678 0.849 0.528
O10 0.829 0.678 0.151
O11 0.849 0.171 0.322
O12 0.849 0.528 0.678

Results
For the energy relative to the elements, uncorrected, the calculation gives -845.4 meV/atom.